Record 1
First-principles (PBE) data for an optimized crystal structure of Pm7Ge2Rh2, as listed in Alexandria via LeMat-Bulk.

The structure in POSCAR format:
```
Pm7Ge2Rh2
1.0
6.830 -0.003 -0.555
0.003 7.089 0.003
-0.979 -0.002 6.782
Pm Rh Ge
7 2 2
direct
0.500 0.758 0.500
0.500 0.242 0.500
0.500 0.741 0.000
0.000 0.259 0.500
0.500 0.259 0.000
0.000 0.000 0.000
0.000 0.741 0.500
0.723 0.000 0.277
0.277 0.000 0.723
0.213 0.500 0.213
0.787 0.500 0.787
```

Space group: Cmmm, No. 65
E_form, eV per atom: -0.42

=====

Record 2
First-principles (PBE) data for an optimized crystal structure of SrH6PdPt, as listed in Alexandria via LeMat-Bulk.

The structure in POSCAR format:
```
SrH6PdPt
1.0
-4.083 2.144 -1.962
-2.462 -2.254 -3.738
-2.609 -2.188 3.037
H Pt Sr Pd
6 1 1 1
direct
0.020 0.581 0.709
0.399 0.020 0.709
0.581 0.399 0.709
0.399 0.581 0.291
0.581 0.020 0.291
0.020 0.399 0.291
0.333 0.333 0.500
0.000 0.000 0.000
0.667 0.667 0.500
```

Space group: P312, No. 149
Final energy, eV/atom: -4.014

=====

Record 3
First-principles (PBE) data for an optimized crystal structure of NbGaHg2, as listed in Alexandria via LeMat-Bulk.

The structure in POSCAR format:
```
NbGaHg2
1.0
7.630 0.000 0.000
0.000 7.630 0.000
3.815 3.815 2.864
Hg Ga Nb
4 2 2
direct
0.607 0.125 0.250
0.143 0.625 0.250
0.375 0.393 0.750
0.875 0.857 0.750
0.500 0.500 0.000
0.250 0.750 0.500
0.750 0.250 0.500
0.000 0.000 0.000
```

Space group: I-42d, No. 122
E_form, eV per atom: 0.37

=====

Record 4
First-principles (PBE) data for an optimized crystal structure of BaAgPd4, as listed in Alexandria via LeMat-Bulk.

The structure in POSCAR format:
```
BaAgPd4
1.0
-1.122 -2.887 4.598
1.199 -5.407 0.239
4.136 -1.782 3.233
Pd Ba Ag
4 1 1
direct
0.626 0.626 0.626
0.123 0.626 0.626
0.626 0.626 0.123
0.626 0.123 0.626
0.250 0.250 0.250
0.000 0.000 0.000
```

Space group: F-43m, No. 216
Offset from the most stable computed form, meV per atom: 0.0
E_form, eV per atom: -0.22

=====

Record 5
First-principles (PBE) data for an optimized crystal structure of ZnGa2Te, as listed in Alexandria via LeMat-Bulk.

The structure in POSCAR format:
```
ZnGa2Te
1.0
-4.328 -0.633 2.542
-3.300 3.817 0.365
-4.394 -0.208 -2.499
Zn Ga Te
1 2 1
direct
0.000 0.000 0.000
0.750 0.750 0.750
0.250 0.250 0.250
0.500 0.500 0.500
```

Energy relative to the elements, uncorrected, eV/atom: 0.131
Space group: Fm-3m, No. 225
Offset from the most stable computed form, meV per atom: 100.8

=====

Record 6
First-principles (PBE) data for an optimized crystal structure of Sm2ThRh, as listed in Alexandria via LeMat-Bulk.

The structure in POSCAR format:
```
Sm2ThRh
1.0
-2.442 -1.155 -2.307
-1.433 -2.035 2.535
-5.210 6.489 2.264
Rh Th Sm
1 1 2
direct
0.500 0.500 0.000
0.500 0.500 0.500
0.000 0.000 0.805
0.000 0.000 0.195
```

Space group: P4/mmm, No. 123
Offset from the most stable computed form, meV per atom: 163.9
E_form, eV per atom: -0.30

=====

Record 7
First-principles (PBE) data for an optimized crystal structure of InCuAu5, as listed in Alexandria via LeMat-Bulk.

The structure in POSCAR format:
```
InCuAu5
1.0
5.288 0.371 -1.323
-1.062 5.194 -1.323
-0.278 -0.366 9.540
Au Cu In
10 2 2
direct
0.461 0.758 0.539
0.180 0.820 0.250
0.617 0.978 0.162
0.820 0.180 0.750
0.539 0.242 0.461
0.242 0.539 0.961
0.022 0.383 0.338
0.978 0.617 0.662
0.758 0.461 0.039
0.383 0.022 0.838
0.515 0.485 0.250
0.485 0.515 0.750
0.000 0.000 0.000
0.000 0.000 0.500
```

Space group: C2/c, No. 15
Offset from the most stable computed form, meV per atom: 0.0
E_form, eV per atom: -0.02

=====

Record 8
First-principles (PBE) data for an optimized crystal structure of Pr3Sb2AsRh9, as listed in Alexandria via LeMat-Bulk.

The structure in POSCAR format:
```
Pr3Sb2AsRh9
1.0
-1.371 -1.619 6.436
-1.149 -4.492 -4.942
7.798 -2.994 0.908
Rh Pr As Sb
9 3 1 2
direct
0.000 0.500 0.000
0.867 0.133 0.718
0.500 0.500 0.000
0.735 0.867 0.282
0.133 0.265 0.282
0.867 0.735 0.718
0.500 0.000 0.000
0.265 0.133 0.718
0.133 0.867 0.282
0.000 0.000 0.000
0.333 0.667 0.723
0.667 0.333 0.277
0.000 0.000 0.500
0.333 0.667 0.207
0.667 0.333 0.793
```

Energy relative to the elements, uncorrected, eV/atom: -0.297
Space group: P-3m1, No. 164

=====

Record 9
First-principles (PBE) data for an optimized crystal structure of Ba2MgCuH, as listed in Alexandria via LeMat-Bulk.

The structure in POSCAR format:
```
Ba2MgCuH
1.0
5.898 0.000 0.000
0.000 5.898 0.000
0.000 0.000 4.039
Mg Ba H Cu
1 2 1 1
direct
0.500 0.500 0.500
0.000 0.500 0.000
0.500 0.000 0.000
0.000 0.000 0.000
0.000 0.000 0.500
```

Space group: P4/mmm, No. 123
Offset from the most stable computed form, meV per atom: 24.3

=====

Record 10
First-principles (PBE) data for an optimized crystal structure of NiBiSN2, as listed in Alexandria via LeMat-Bulk.

The structure in POSCAR format:
```
NiBiSN2
1.0
-3.676 0.901 0.992
-1.080 -3.706 -0.638
0.945 -1.041 4.448
Bi S N Ni
1 1 2 1
direct
0.500 0.500 0.500
0.000 0.000 0.500
0.500 0.000 0.000
0.000 0.500 0.000
0.000 0.000 0.000
```

Energy relative to the elements, uncorrected, eV/atom: 1.025
Space group: P4/mmm, No. 123
Offset from the most stable computed form, meV per atom: 0.0

=====

Record 11
First-principles (PBE) data for an optimized crystal structure of Ga2SiAu, as listed in Alexandria via LeMat-Bulk.

The structure in POSCAR format:
```
Ga2SiAu
1.0
5.838 0.000 0.000
0.000 5.838 0.000
2.919 2.919 5.631
Ga Si Au
4 2 2
direct
0.602 0.125 0.250
0.375 0.398 0.750
0.148 0.625 0.250
0.875 0.852 0.750
0.500 0.500 0.000
0.250 0.750 0.500
0.000 0.000 0.000
0.750 0.250 0.500
```

Energy relative to the elements, uncorrected, eV/atom: 0.172
Space group: I-42d, No. 122

=====

Record 12
First-principles (PBE) data for an optimized crystal structure of V2Co2Ir, as listed in Alexandria via LeMat-Bulk.

The structure in POSCAR format:
```
V2Co2Ir
1.0
6.833 0.000 0.000
0.000 6.833 0.000
0.000 0.000 2.720
V Ir Co
4 2 4
direct
0.156 0.344 0.000
0.656 0.156 0.000
0.344 0.844 0.000
0.844 0.656 0.000
0.000 0.000 0.000
0.500 0.500 0.000
0.137 0.637 0.500
0.363 0.137 0.500
0.863 0.363 0.500
0.637 0.863 0.500
```

Space group: P4/mbm, No. 127
Offset from the most stable computed form, meV per atom: 284.6
E_form, eV per atom: 0.04